Zr2Cu2Pd5 | PBE | optimized geometry

The structure in extended XYZ format:
```
18
Lattice="7.2762 0.0000 0.0000 0.0000 6.0013 0.0000 -3.6381 -3.0006 7.1210" Properties=species:S:1:pos:R:3 pbc="T T T"
Cu 3.4489 4.3412 3.5605
Cu 3.6381 2.2986 0.0000
Cu 0.1892 1.3406 3.5605
Cu 0.0000 5.2992 0.0000
Zr 3.9542 0.2509 1.7420
Zr 3.9542 0.2509 5.3789
Zr -0.3161 3.2516 5.3789
Zr -0.3161 3.2516 1.7420
Pd -1.3234 -0.7735 3.5605
Pd -1.3683 1.3394 7.0509
Pd 5.0065 4.3400 0.0701
Pd -2.2698 -1.6612 7.0509
Pd 1.3391 -0.5146 2.2274
Pd 5.9079 1.3394 0.0701
Pd 2.2991 2.4860 2.2274
Pd 2.2991 2.4860 4.8936
Pd 4.9615 2.2271 3.5605
Pd 1.3391 -0.5146 4.8936
```

Calculated values
Space group: Ima2, No. 46
Uncorrected energy (eV per atom): -5.955
Total magnetic moment (μB/f.u.): 0.00


ZrCu2Pd4 | PBE | optimized geometry

The structure in extended XYZ format:
```
7
Lattice="-3.7586 2.9459 -0.7996 -3.2050 -5.0294 2.0354 2.6277 -0.9481 3.9552" Properties=species:S:1:pos:R:3 pbc="T T T"
Pd -2.5224 -0.7366 4.2157
Pd -2.7647 1.7874 0.1175
Pd -2.2873 -3.4244 3.5887
Pd -1.4831 -0.0578 1.7455
Cu -3.6979 -1.4859 1.8558
Cu -0.1398 -1.8669 3.3732
Zr -0.9669 -5.3005 5.2497
```

Calculated values
Space group: Cm, No. 8
Uncorrected energy (eV per atom): -5.756
Total magnetic moment (μB/f.u.): 0.00
Energy above the lowest structure with this stoichiometry (eV/f.u.): 0.00


ZrCu5Pd6 | PBE | optimized geometry

The structure in extended XYZ format:
```
12
Lattice="8.2293 -0.2144 0.0000 2.0881 3.4717 0.0000 1.0441 1.7359 6.0014" Properties=species:S:1:pos:R:3 pbc="T T T"
Zr 0.0000 0.0000 0.0000
Pd 3.6697 2.5223 2.0226
Pd 7.7023 2.4663 0.0000
Pd 4.7138 4.2581 3.9787
Pd 2.6151 0.7911 0.0000
Pd 7.6917 2.4709 3.9787
Pd 6.6476 0.7351 2.0226
Cu 6.2028 3.3645 1.9605
Cu 5.1587 1.6287 0.0000
Cu 5.1587 1.6287 4.0408
Cu 2.0881 3.4717 3.9224
Cu 1.0441 1.7359 2.0790
```

Calculated values
Space group: Cmmm, No. 65
Uncorrected energy (eV per atom): -5.333
Total magnetic moment (μB/f.u.): 0.00
Energy above the lowest structure with this stoichiometry (eV/f.u.): 0.00


Q: Which formula does entry 3 have?
A: ZrCu5Pd6


Q: Among the records above, which one has the highest uncorrected energy?
A: ZrCu5Pd6


Q: Number 2 is which compound?
A: ZrCu2Pd4